A geometry-optimized HoTh2Pa structure, computed with GGA-PBE.

Results
The density of states at the Fermi level is 6.960 states/eV per cell. The value obtained for the formation energy is 0.1034 eV per atom. For the energy above the lowest structure with this stoichiometry, the calculation gives 0.093 eV/f.u. The total moment comes out at 0.0 μB/f.u.

a = 3.465 Å, b = 3.465 Å, c = 11.705 Å
α = 81.49°, β = 81.49°, γ = 60.00°
Positions (direct):
1 Ho 0.668 0.668 0.997
2 Th 0.085 0.085 0.744
3 Th 0.248 0.248 0.257
4 Pa 0.499 0.499 0.502

A geometry-optimized RbInBrCl structure, computed with GGA-PBE.

Results
The density of states at the Fermi level is 0.000 states/eV per cell. For the energy above the lowest structure with this stoichiometry, the calculation gives 0.202 eV/f.u. The total moment comes out at 0.0 μB/f.u.

a = 5.685 Å, b = 5.685 Å, c = 5.685 Å
α = 60.00°, β = 60.00°, γ = 60.00°
Positions (direct):
1 Cl 0.500 0.500 0.500
2 Br 0.000 0.000 0.000
3 Rb 0.750 0.750 0.750
4 In 0.250 0.250 0.250

A geometry-optimized Ga2AgOsO8 structure, computed with GGA-PBE.

Results
The value obtained for the final energy is -5.97 eV/atom. The density of states at the Fermi level is 5.160 states/eV per cell. The total moment comes out at 0.0 μB/f.u.

a = 4.630 Å, b = 4.627 Å, c = 6.367 Å
α = 88.95°, β = 91.06°, γ = 91.92°
Positions (direct):
1 Ga 0.490 0.510 0.743
2 Ga 0.510 0.490 0.257
3 Ag 0.000 0.000 0.500
4 Os 0.000 0.000 0.000
5 O 0.208 0.791 0.196
6 O 0.701 0.702 0.000
7 O 0.812 0.188 0.223
8 O 0.792 0.209 0.804
9 O 0.299 0.298 0.000
10 O 0.188 0.812 0.777
11 O 0.684 0.685 0.500
12 O 0.316 0.315 0.500

What did the first record say?
A geometry-optimized HoTh2Pa structure, computed with GGA-PBE.

Results
The density of states at the Fermi level is 6.960 states/eV per cell. The value obtained for the formation energy is 0.1034 eV per atom. For the energy above the lowest structure with this stoichiometry, the calculation gives 0.093 eV/f.u. The total moment comes out at 0.0 μB/f.u.

a = 3.465 Å, b = 3.465 Å, c = 11.705 Å
α = 81.49°, β = 81.49°, γ = 60.00°
Positions (direct):
1 Ho 0.668 0.668 0.997
2 Th 0.085 0.085 0.744
3 Th 0.248 0.248 0.257
4 Pa 0.499 0.499 0.502